VASP calculation (GGA-PBE) on a geometry-optimized PrErTl structure.

Properties
Calculated density   8.3 g/cm3
SG   F-43m (216)
V   34.01 Å³/atom
ΔE to the lowest computed polymorph   0 meV/atom

a b c (Å): 5.245 5.245 5.245
angles (deg): 60.00 60.00 60.00
Fractional coordinates of all 3 atoms:
Pr  0.000  0.000  0.000
Er  0.500  0.500  0.500
Tl  0.750  0.750  0.750


VASP calculation (GGA-PBE) on a geometry-optimized GdDyCuS3 structure.

Properties
Uncorrected energy   -69.23 eV per cell
Calculated density   6.6 g/cm3
SG   Cmcm (63)
V   20.23 Å³/atom

a b c (Å): 6.555 6.555 10.293
angles (deg): 90.00 90.00 146.70
Fractional coordinates of all 12 atoms:
Gd  0.000  0.000  0.000
Gd  0.000  0.000  0.500
Dy  0.232  0.768  0.750
Dy  0.768  0.232  0.250
Cu  0.480  0.520  0.250
Cu  0.520  0.480  0.750
S  0.096  0.904  0.250
S  0.354  0.646  0.083
S  0.354  0.646  0.417
S  0.646  0.354  0.583
S  0.646  0.354  0.917
S  0.904  0.096  0.750


VASP calculation (GGA-PBE) on a geometry-optimized ErBeRe structure.

Properties
Calculated density   9.3 g/cm3
SG   F-43m (216)
V   21.67 Å³/atom
ΔE to the lowest computed polymorph   1109 meV/atom

a b c (Å): 4.513 4.513 4.513
angles (deg): 60.00 60.00 60.00
Fractional coordinates of all 3 atoms:
Er  0.000  0.000  0.000
Be  0.750  0.750  0.750
Re  0.250  0.250  0.250


VASP calculation (GGA-PBE) on a geometry-optimized ErLu2Co9 structure.

Properties
E_form   -230 meV per atom
Calculated density   10.4 g/cm3
SG   R-3m (166)
V   13.93 Å³/atom

a b c (Å): 8.493 8.493 8.493
angles (deg): 33.60 33.60 33.60
Fractional coordinates of all 12 atoms:
Er  0.000  0.000  0.000
Lu  0.140  0.140  0.140
Lu  0.860  0.860  0.860
Co  0.078  0.584  0.584
Co  0.335  0.335  0.335
Co  0.416  0.416  0.922
Co  0.416  0.922  0.416
Co  0.500  0.500  0.500
Co  0.584  0.078  0.584
Co  0.584  0.584  0.078
Co  0.665  0.665  0.665
Co  0.922  0.416  0.416


VASP calculation (GGA-PBE) on a geometry-optimized ZrNiC2 structure.

Properties
Calculated density   6.4 g/cm3
SG   P4/mmm (123)
V   11.35 Å³/atom
ΔE to the lowest computed polymorph   641 meV/atom

a b c (Å): 3.206 3.206 4.415
angles (deg): 90.00 90.00 90.00
Fractional coordinates of all 4 atoms:
Zr  0.000  0.000  0.000
Ni  0.500  0.500  0.500
C  0.000  0.000  0.500
C  0.500  0.500  0.000


VASP calculation (GGA-PBE) on a geometry-optimized Gd4ZnSe3 structure.

Properties
Uncorrected energy   -41.84 eV per cell
Calculated density   7.7 g/cm3
SG   Pm-3m (221)
V   25.00 Å³/atom

a b c (Å): 5.848 5.848 5.848
angles (deg): 90.00 90.00 90.00
Fractional coordinates of all 8 atoms:
Gd  0.000  0.000  0.000
Gd  0.000  0.500  0.500
Gd  0.500  0.000  0.500
Gd  0.500  0.500  0.000
Zn  0.500  0.500  0.500
Se  0.000  0.000  0.500
Se  0.000  0.500  0.000
Se  0.500  0.000  0.000


VASP calculation (GGA-PBE) on a geometry-optimized CoSb2Pt structure.

Properties
Calculated density   8.4 g/cm3
SG   I-42d (122)
V   24.61 Å³/atom
ΔE to the lowest computed polymorph   10 meV/atom

a b c (Å): 7.132 7.132 7.132
angles (deg): 131.92 131.92 70.36
Fractional coordinates of all 8 atoms:
Co  0.000  0.000  0.000
Co  0.750  0.250  0.500
Sb  0.098  0.125  0.473
Sb  0.375  0.902  0.027
Sb  0.652  0.625  0.527
Sb  0.875  0.348  0.973
Pt  0.250  0.750  0.500
Pt  0.500  0.500  0.000


VASP calculation (GGA-PBE) on a geometry-optimized Sr2ZrTe3 structure.

Properties
Uncorrected energy   -55.49 eV per cell
Calculated density   4.6 g/cm3
SG   C2/m (12)
V   38.95 Å³/atom

a b c (Å): 9.609 9.609 11.729
angles (deg): 100.84 100.84 26.09
Fractional coordinates of all 12 atoms:
Sr  0.151  0.151  0.346
Sr  0.338  0.338  0.112
Sr  0.662  0.662  0.888
Sr  0.849  0.849  0.654
Zr  0.054  0.054  0.607
Zr  0.946  0.946  0.393
Te  0.162  0.162  0.083
Te  0.336  0.336  0.420
Te  0.491  0.491  0.723
Te  0.509  0.509  0.277
Te  0.664  0.664  0.580
Te  0.838  0.838  0.917


VASP calculation (GGA-PBE) on a geometry-optimized Pr2Sm2CI3Cl2 structure.

Properties
Calculated density   5.3 g/cm3
SG   C2/m (12)
V   33.06 Å³/atom
ΔE to the lowest computed polymorph   0 meV/atom

a b c (Å): 9.623 9.623 8.869
angles (deg): 100.49 100.49 24.18
Fractional coordinates of all 10 atoms:
Pr  0.001  0.001  0.304
Pr  0.999  0.999  0.696
Sm  0.366  0.366  0.436
Sm  0.634  0.634  0.564
C  0.500  0.500  0.500
I  0.176  0.176  0.319
I  0.500  0.500  0.000
I  0.824  0.824  0.681
Cl  0.153  0.153  0.787
Cl  0.847  0.847  0.213


VASP calculation (GGA-PBE) on a geometry-optimized NbMoS4 structure.

Properties
Calculated density   2.6 g/cm3
SG   Amm2 (38)
V   33.14 Å³/atom
ΔE to the lowest computed polymorph   2 meV/atom

a b c (Å): 3.279 11.046 11.046
angles (deg): 150.19 90.00 90.00
Fractional coordinates of all 6 atoms:
Nb  0.000  0.000  0.000
Mo  0.500  0.493  0.493
S  0.000  0.585  0.728
S  0.000  0.728  0.585
S  0.500  0.095  0.241
S  0.500  0.241  0.095


VASP calculation (GGA-PBE) on a geometry-optimized KPuPb structure.

Properties
Calculated density   6.6 g/cm3
SG   F-43m (216)
V   41.23 Å³/atom
ΔE to the lowest computed polymorph   0 meV/atom

a b c (Å): 5.593 5.593 5.593
angles (deg): 60.00 60.00 60.00
Fractional coordinates of all 3 atoms:
K  0.000  0.000  0.000
Pu  0.500  0.500  0.500
Pb  0.250  0.250  0.250


VASP calculation (GGA-PBE) on a geometry-optimized Sm2LuBiO6 structure.

Properties
Uncorrected energy   -152.68 eV per cell
Calculated density   8.8 g/cm3
SG   P2_1/c (14)
V   14.68 Å³/atom

a b c (Å): 5.747 6.044 10.203
angles (deg): 90.00 124.09 90.00
Fractional coordinates of all 20 atoms:
Sm  0.230  0.059  0.249
Sm  0.230  0.441  0.749
Sm  0.770  0.559  0.251
Sm  0.770  0.941  0.751
Lu  0.000  0.000  0.500
Lu  0.000  0.500  0.000
Bi  0.500  0.000  0.000
Bi  0.500  0.500  0.500
O  0.093  0.196  0.921
O  0.093  0.304  0.421
O  0.227  0.680  0.923
O  0.227  0.820  0.423
O  0.389  0.076  0.738
O  0.389  0.424  0.238
O  0.611  0.576  0.762
O  0.611  0.924  0.262
O  0.773  0.180  0.577
O  0.773  0.320  0.077
O  0.907  0.696  0.579
O  0.907  0.804  0.079


VASP calculation (GGA-PBE) on a geometry-optimized NbZnPO structure.

Properties
Uncorrected energy   -49.59 eV per cell
Calculated density   6.4 g/cm3
SG   P4/nmm (129)
V   13.29 Å³/atom

a b c (Å): 3.494 3.494 8.707
angles (deg): 90.00 90.00 90.00
Fractional coordinates of all 8 atoms:
Nb  0.250  0.250  0.152
Nb  0.750  0.750  0.848
Zn  0.250  0.750  0.500
Zn  0.750  0.250  0.500
P  0.250  0.250  0.722
P  0.750  0.750  0.278
O  0.250  0.750  0.000
O  0.750  0.250  0.000


VASP calculation (GGA-PBE) on a geometry-optimized Dy3Cd3GaAu2 structure.

Properties
Uncorrected energy   -31.57 eV per cell
Calculated density   10.6 g/cm3
SG   P-62m (189)
V   22.51 Å³/atom

a b c (Å): 7.611 7.611 4.038
angles (deg): 90.00 90.00 120.00
Fractional coordinates of all 9 atoms:
Dy  0.000  0.412  0.000
Dy  0.412  0.000  0.000
Dy  0.588  0.588  0.000
Cd  0.000  0.749  0.500
Cd  0.251  0.251  0.500
Cd  0.749  0.000  0.500
Ga  0.000  0.000  0.000
Au  0.333  0.667  0.500
Au  0.667  0.333  0.500


VASP calculation (GGA-PBE) on a geometry-optimized TaReW structure.

Properties
E_form   529 meV per atom
Calculated density   15.7 g/cm3
SG   F-43m (216)
V   19.37 Å³/atom
ΔE to the lowest computed polymorph   0 meV/atom

a b c (Å): 4.347 4.347 4.347
angles (deg): 60.00 60.00 60.00
Fractional coordinates of all 3 atoms:
Ta  0.000  0.000  0.000
Re  0.250  0.250  0.250
W  0.500  0.500  0.500


VASP calculation (GGA-PBE) on a geometry-optimized YTlNiS3 structure.

Properties
Uncorrected energy   -66.04 eV per cell
Calculated density   5.0 g/cm3
SG   P2_1/m (11)
V   24.88 Å³/atom

a b c (Å): 8.826 3.889 9.143
angles (deg): 90.00 107.91 90.00
Fractional coordinates of all 12 atoms:
Y  0.174  0.250  0.143
Y  0.826  0.750  0.857
Tl  0.292  0.750  0.776
Tl  0.708  0.250  0.224
Ni  0.421  0.750  0.403
Ni  0.579  0.250  0.597
S  0.037  0.250  0.836
S  0.324  0.250  0.464
S  0.391  0.750  0.145
S  0.609  0.250  0.855
S  0.676  0.750  0.536
S  0.963  0.750  0.164


VASP calculation (GGA-PBE) on a geometry-optimized Cs2KCdCl6 structure.

Properties
Uncorrected energy   -59.15 eV per cell
Calculated density   2.8 g/cm3
SG   P-1 (2)
V   38.02 Å³/atom

a b c (Å): 7.731 8.633 12.530
angles (deg): 72.88 72.05 84.97
Fractional coordinates of all 20 atoms:
Cs  0.221  0.048  0.092
Cs  0.249  0.670  0.724
Cs  0.751  0.330  0.276
Cs  0.779  0.952  0.908
K  0.377  0.231  0.662
K  0.623  0.769  0.338
Cd  0.222  0.519  0.295
Cd  0.778  0.481  0.705
Cl  0.002  0.671  0.198
Cl  0.178  0.219  0.326
Cl  0.250  0.933  0.859
Cl  0.267  0.546  0.477
Cl  0.400  0.058  0.456
Cl  0.484  0.351  0.850
Cl  0.516  0.649  0.150
Cl  0.600  0.942  0.544
Cl  0.733  0.454  0.523
Cl  0.750  0.067  0.141
Cl  0.822  0.781  0.674
Cl  0.998  0.329  0.802


VASP calculation (GGA-PBE) on a geometry-optimized Li2YScGe2Pt2 structure.

Properties
Uncorrected energy   -44.85 eV per cell
Calculated density   8.6 g/cm3
SG   P-4m2 (115)
V   16.51 Å³/atom

a b c (Å): 4.531 4.531 6.434
angles (deg): 90.00 90.00 90.00
Fractional coordinates of all 8 atoms:
Li  0.000  0.500  0.234
Li  0.500  0.000  0.766
Y  0.000  0.000  0.500
Sc  0.500  0.500  0.000
Ge  0.000  0.000  0.000
Ge  0.500  0.500  0.500
Pt  0.000  0.500  0.766
Pt  0.500  0.000  0.234


VASP calculation (GGA-PBE) on a geometry-optimized KAgAsAu structure.

Properties
Calculated density   7.8 g/cm3
SG   F-43m (216)
V   22.32 Å³/atom
ΔE to the lowest computed polymorph   61 meV/atom

a b c (Å): 5.017 5.017 5.017
angles (deg): 60.00 60.00 60.00
Fractional coordinates of all 4 atoms:
K  0.000  0.000  0.000
Ag  0.500  0.500  0.500
As  0.250  0.250  0.250
Au  0.750  0.750  0.750


VASP calculation (GGA-PBE) on a geometry-optimized MoIr2Os structure.

Properties
E_form   -286 meV per atom
Calculated density   19.1 g/cm3
SG   Cmcm (63)
V   14.61 Å³/atom
ΔE to the lowest computed polymorph   0 meV/atom

a b c (Å): 5.551 5.551 4.406
angles (deg): 90.00 90.00 120.58
Fractional coordinates of all 8 atoms:
Mo  0.168  0.832  0.750
Mo  0.832  0.168  0.250
Ir  0.168  0.335  0.750
Ir  0.335  0.168  0.250
Ir  0.665  0.832  0.750
Ir  0.832  0.665  0.250
Os  0.334  0.666  0.250
Os  0.666  0.334  0.750